Computed, not measured: Al2TcNiHg after structural relaxation at the GGA-PBE level of DFT.

Calculated values
* mass density: 6.47 g/cm³
* total DFT energy (no corrections): -4.16 eV/atom
* DFT formation energy: 0.632 eV/atom
* symmetry: No. 123

a = 4.8456 Å, b = 4.8456 Å, c = 4.4941 Å
α = 90.00°, β = 90.00°, γ = 90.00°
Last column: nearest neighbours and their distance in Å.
Positions (direct):
1 Ni 0.0000 0.0000 0.5000  2 Tc 2.25
2 Al 0.0000 0.5000 0.0000  2 Tc 2.42
3 Al 0.5000 0.0000 0.0000  2 Tc 2.42
4 Hg 0.5000 0.5000 0.5000  8 Al 3.30, 4 Ni 3.43
5 Tc 0.0000 0.0000 0.0000  2 Ni 2.25, 4 Al 2.42